Entry 1:
DFT (GGA-PBE) results for SrH4Rh2 after structural relaxation.

```
SrH4Rh2
1.0
-1.251 -5.615 -1.424
5.767 -1.027 -0.896
-1.827 2.195 5.214
H Sr Rh
8 2 4
Direct
0.483 0.161 0.325 H
0.839 0.517 0.675 H
0.411 0.233 0.825 H
0.842 0.164 0.326 H
0.836 0.158 0.674 H
0.767 0.589 0.175 H
0.408 0.586 0.174 H
0.414 0.592 0.826 H
0.250 0.750 0.500 Sr
0.000 0.000 0.000 Sr
0.625 0.375 0.750 Rh
0.125 0.375 0.750 Rh
0.625 0.375 0.250 Rh
0.625 0.875 0.250 Rh
```

## Properties
SG	Fddd (70)

***

Entry 2:
DFT (GGA-PBE) results for SrH3Rh after structural relaxation.

```
SrH3Rh
1.0
17.706 0.000 -1.318
0.000 5.277 0.000
-6.246 0.000 2.912
H Rh Sr
12 4 4
Direct
0.169 0.750 0.169 H
0.562 0.904 0.062 H
0.302 0.580 0.802 H
0.669 0.750 0.669 H
0.831 0.250 0.831 H
0.938 0.404 0.438 H
0.802 0.920 0.302 H
0.198 0.080 0.698 H
0.331 0.250 0.331 H
0.438 0.096 0.938 H
0.062 0.596 0.562 H
0.698 0.420 0.198 H
0.424 0.759 0.924 Rh
0.076 0.259 0.576 Rh
0.924 0.741 0.424 Rh
0.576 0.241 0.076 Rh
0.901 0.750 0.901 Sr
0.599 0.250 0.599 Sr
0.099 0.250 0.099 Sr
0.401 0.750 0.401 Sr
```

## Properties
SG	Cmce (64)

***

Entry 3:
DFT (GGA-PBE) results for SrH3Rh after structural relaxation.

```
SrH3Rh
1.0
3.214 -1.856 0.000
0.000 3.711 0.000
0.000 0.000 10.295
H Rh Sr
6 2 2
Direct
0.667 0.333 0.412 H
0.333 0.667 0.588 H
0.000 0.000 0.250 H
0.000 0.000 0.750 H
0.667 0.333 0.088 H
0.333 0.667 0.912 H
0.667 0.333 0.250 Rh
0.333 0.667 0.750 Rh
0.000 0.000 0.000 Sr
0.000 0.000 0.500 Sr
```

## Properties
SG	P6_3/mmc (194)

***

Entry 4:
DFT (GGA-PBE) results for SrH3Rh after structural relaxation.

```
SrH3Rh
1.0
-4.374 -3.658 0.479
3.359 -3.983 0.254
1.571 1.591 4.172
H Rh Sr
6 2 2
Direct
0.313 0.062 0.934 H
0.687 0.938 0.066 H
0.687 0.562 0.066 H
0.829 0.250 0.829 H
0.171 0.750 0.171 H
0.313 0.438 0.934 H
0.398 0.750 0.024 Rh
0.602 0.250 0.976 Rh
0.796 0.750 0.653 Sr
0.204 0.250 0.347 Sr
```

## Properties
SG	P2_1/m (11)

***

Entry 5:
DFT (GGA-PBE) results for SrH3Rh after structural relaxation.

```
SrH3Rh
1.0
3.469 0.000 0.000
0.000 3.469 0.000
0.000 0.000 4.954
H Rh Sr
3 1 1
Direct
0.000 0.000 0.655 H
0.000 0.500 0.460 H
0.500 0.000 0.460 H
0.500 0.500 0.560 Rh
0.000 0.000 0.129 Sr
```

## Properties
SG	P4mm (99)

***

Entry 6:
DFT (GGA-PBE) results for SrH11Rh5 after structural relaxation.

```
SrH11Rh5
1.0
6.233 1.630 -0.835
-2.335 4.701 -1.858
0.127 -0.950 5.485
H Rh Sr
11 5 1
Direct
0.349 0.267 0.853 H
0.902 0.176 0.486 H
0.098 0.824 0.514 H
0.902 0.486 0.176 H
0.651 0.733 0.147 H
0.651 0.147 0.733 H
0.098 0.514 0.824 H
0.349 0.853 0.267 H
0.710 0.463 0.463 H
0.290 0.537 0.537 H
0.500 0.000 0.000 H
0.368 0.618 0.904 Rh
0.000 0.500 0.500 Rh
0.632 0.096 0.382 Rh
0.632 0.382 0.096 Rh
0.368 0.904 0.618 Rh
0.000 0.000 0.000 Sr
```

## Properties
SG	C2/m (12)

***

Entry 7:
DFT (GGA-PBE) results for SrH3Rh after structural relaxation.

```
SrH3Rh
1.0
-3.734 -3.182 -0.046
0.054 -0.160 6.608
-2.536 2.956 1.389
H Rh Sr
6 2 2
Direct
0.121 0.268 0.177 H
0.645 0.637 0.128 H
0.145 0.637 0.890 H
0.621 0.006 0.841 H
0.667 0.268 0.209 H
0.167 0.006 0.808 H
0.894 0.459 0.098 Rh
0.394 0.815 0.919 Rh
0.394 0.374 0.640 Sr
0.894 0.899 0.378 Sr
```

## Properties
SG	C222_1 (20)

***

Entry 8:
DFT (GGA-PBE) results for SrH3Rh after structural relaxation.

```
SrH3Rh
1.0
1.201 1.283 3.508
-3.769 -0.936 -0.562
1.605 -7.862 2.325
Rh H Sr
2 6 2
Direct
0.000 0.000 0.000 Rh
0.000 0.000 0.500 Rh
0.333 0.667 0.451 H
0.333 0.667 0.049 H
0.667 0.333 0.549 H
0.000 0.000 0.750 H
0.000 0.000 0.250 H
0.667 0.333 0.951 H
0.333 0.667 0.750 Sr
0.667 0.333 0.250 Sr
```

## Properties
SG	P6_3/mmc (194)

***

| no. | electronic total energy (eV/f.u.) |
| --- | --- |
| 1 | -32.158 |
| 2 | -21.157 |
| 3 | -20.370 |
| 4 | -21.155 |
| 5 | -18.948 |
| 6 | -76.475 |
| 7 | -21.562 |
| 8 | -19.034 |